[1]
Sr2CrAsAu: PBEsol geometry, meta-GGA SCAN.

Lattice parameters (Å, degrees): 5.8991 5.8991 4.8137 90.00 90.00 90.00
Space group P4/mmm (No. 123)
One atom of each set of equivalent atoms:
Sr1 0.0000 0.5000 0.0000 (multiplicity 2)
Cr1 0.0000 0.0000 0.5000 (multiplicity 1)
As1 0.5000 0.5000 0.0000 (multiplicity 1)
Au1 0.5000 0.5000 0.5000 (multiplicity 1)

Calculated values
- D(E_F) (states/eV/f.u.) = 1.9
- formation enthalpy at 0 K (meV/atom) = -138



[2]
YCoBi3: PBEsol geometry, meta-GGA SCAN.

Lattice parameters (Å, degrees): 5.1050 5.1050 5.1050 90.00 90.00 90.00
Space group Pm-3m (No. 221)
One atom of each set of equivalent atoms:
Y1 0.0000 0.0000 0.0000 (multiplicity 1)
Co1 0.5000 0.5000 0.5000 (multiplicity 1)
Bi1 0.0000 0.5000 0.5000 (multiplicity 3)

Calculated values
- D(E_F) (states/eV/f.u.) = 3.9
- formation enthalpy at 0 K (meV/atom) = 130



[3]
Mg3AgHg: PBEsol geometry, meta-GGA SCAN.

Lattice parameters (Å, degrees): 5.0746 5.0746 5.0746 90.00 90.00 90.00
Space group Pm-3m (No. 221)
One atom of each set of equivalent atoms:
Mg1 0.0000 0.0000 0.5000 (multiplicity 3)
Ag1 0.0000 0.0000 0.0000 (multiplicity 1)
Hg1 0.5000 0.5000 0.5000 (multiplicity 1)

Calculated values
- D(E_F) (states/eV/f.u.) = 2.2
- formation enthalpy at 0 K (meV/atom) = 65



[4]
CaInPCl2: PBEsol geometry, meta-GGA SCAN.

Lattice parameters (Å, degrees): 5.0706 5.0706 5.0678 90.00 90.00 90.00
Space group P4/mmm (No. 123)
One atom of each set of equivalent atoms:
Ca1 0.0000 0.0000 0.0000 (multiplicity 1)
In1 0.5000 0.5000 0.5000 (multiplicity 1)
P1 0.5000 0.5000 0.0000 (multiplicity 1)
Cl1 0.0000 0.5000 0.5000 (multiplicity 2)

Calculated values
- energy relative to the elements, uncorrected (eV/atom) = -0.81
- D(E_F) (states/eV/f.u.) = 2.9



[5]
BeIr2O2: PBEsol geometry, meta-GGA SCAN.

Lattice parameters (Å, degrees): 5.9545 5.9545 3.6939 90.00 90.00 90.00
Space group P4/mbm (No. 127)
One atom of each set of equivalent atoms:
Be1 0.0000 0.0000 0.0000 (multiplicity 2)
Ir1 0.1553 0.3447 0.0000 (multiplicity 4)
O1 0.1615 0.3385 0.5000 (multiplicity 4)

Calculated values
- energy relative to the elements, uncorrected (eV/atom) = -0.26
- D(E_F) (states/eV/f.u.) = 2.3



[6]
Li2ReOs: PBEsol geometry, meta-GGA SCAN.

Lattice parameters (Å, degrees): 2.7030 4.4144 9.3354 90.00 90.00 90.00
Space group Cmmm (No. 65)
One atom of each set of equivalent atoms:
Li1 0.0000 0.0000 0.2450 (multiplicity 4)
Re1 0.0000 0.5000 0.5000 (multiplicity 2)
Os1 0.0000 0.5000 0.0000 (multiplicity 2)

Calculated values
- D(E_F) (states/eV/f.u.) = 2.5
- formation enthalpy at 0 K (meV/atom) = 196



[7]
Mg2AuBr: PBEsol geometry, meta-GGA SCAN.

Lattice parameters (Å, degrees): 3.8918 3.8918 11.4737 90.00 90.00 90.00
Space group I-4m2 (No. 119)
One atom of each set of equivalent atoms:
Mg1 0.0000 0.0000 0.0000 (multiplicity 2)
Mg2 0.0000 0.5000 0.2500 (multiplicity 2)
Au1 0.0000 0.0000 0.5000 (multiplicity 2)
Br1 0.0000 0.5000 0.7500 (multiplicity 2)

Calculated values
- energy relative to the elements, uncorrected (eV/atom) = -0.46
- D(E_F) (states/eV/f.u.) = 1.3



[8]
Y2FeTc: PBEsol geometry, meta-GGA SCAN.

Lattice parameters (Å, degrees): 6.6587 6.6587 6.6587 90.00 90.00 90.00
Space group F-43m (No. 216)
One atom of each set of equivalent atoms:
Y1 0.0000 0.0000 0.0000 (multiplicity 4)
Y2 0.2500 0.2500 0.2500 (multiplicity 4)
Fe1 0.0000 0.0000 0.5000 (multiplicity 4)
Tc1 0.2500 0.2500 0.7500 (multiplicity 4)

Calculated values
- D(E_F) (states/eV/f.u.) = 5.4
- formation enthalpy at 0 K (meV/atom) = 413



[9]
LiLaRu2: PBEsol geometry, meta-GGA SCAN.

Lattice parameters (Å, degrees): 2.8345 4.0916 5.9312 90.00 90.00 90.00
Space group Pmmm (No. 47)
One atom of each set of equivalent atoms:
Li1 0.0000 0.0000 0.0000 (multiplicity 1)
La1 0.0000 0.0000 0.5000 (multiplicity 1)
Ru1 0.5000 0.5000 0.1978 (multiplicity 2)

Calculated values
- D(E_F) (states/eV/f.u.) = 4.4
- formation enthalpy at 0 K (meV/atom) = 333



[10]
Y2CoOs: PBEsol geometry, meta-GGA SCAN.

Lattice parameters (Å, degrees): 3.9549 3.9549 9.5602 90.00 90.00 90.00
Space group I-4m2 (No. 119)
One atom of each set of equivalent atoms:
Y1 0.0000 0.0000 0.0000 (multiplicity 2)
Y2 0.0000 0.5000 0.2500 (multiplicity 2)
Co1 0.0000 0.0000 0.5000 (multiplicity 2)
Os1 0.0000 0.5000 0.7500 (multiplicity 2)

Calculated values
- D(E_F) (states/eV/f.u.) = 3.4
- formation enthalpy at 0 K (meV/atom) = 190



[11]
TaCdIn2: PBEsol geometry, meta-GGA SCAN.

Lattice parameters (Å, degrees): 3.1293 4.2277 6.1184 90.00 90.00 90.00
Space group Pmmm (No. 47)
One atom of each set of equivalent atoms:
Ta1 0.0000 0.0000 0.0000 (multiplicity 1)
Cd1 0.0000 0.0000 0.5000 (multiplicity 1)
In1 0.5000 0.5000 0.2407 (multiplicity 2)

Calculated values
- D(E_F) (states/eV/f.u.) = 1.7
- formation enthalpy at 0 K (meV/atom) = 259



[12]
CrP2: PBEsol geometry, meta-GGA SCAN.

Lattice parameters (Å, degrees): 2.9756 11.0886 4.2204 90.00 90.00 90.00
Space group Cmcm (No. 63)
One atom of each set of equivalent atoms:
Cr1 0.0000 0.1041 0.2500 (multiplicity 4)
P1 0.0000 0.2267 0.7500 (multiplicity 4)
P2 0.0000 0.4360 0.2500 (multiplicity 4)

Calculated values
- D(E_F) (states/eV/f.u.) = 1.9
- formation enthalpy at 0 K (meV/atom) = 40



[13]
BaZrRe2: PBEsol geometry, meta-GGA SCAN.

Lattice parameters (Å, degrees): 3.5515 3.5515 7.5350 90.00 90.00 90.00
Space group P4/mmm (No. 123)
One atom of each set of equivalent atoms:
Ba1 0.0000 0.0000 0.0000 (multiplicity 1)
Zr1 0.0000 0.0000 0.5000 (multiplicity 1)
Re1 0.5000 0.5000 0.3418 (multiplicity 2)

Calculated values
- D(E_F) (states/eV/f.u.) = 4.0
- formation enthalpy at 0 K (meV/atom) = 607



[14]
Ta3C2: PBEsol geometry, meta-GGA SCAN.

Lattice parameters (Å, degrees): 3.1219 3.1219 22.3068 90.00 90.00 120.00
Space group R-3m (No. 166, hexagonal axes)
One atom of each set of equivalent atoms:
Ta1 0.0000 0.0000 0.0000 (multiplicity 3)
Ta2 0.0000 0.0000 0.2208 (multiplicity 6)
C1 0.0000 0.0000 0.3920 (multiplicity 6)

Calculated values
- D(E_F) (states/eV/f.u.) = 1.3
- formation enthalpy at 0 K (meV/atom) = -620



[15]
Nb2SnPtW: PBEsol geometry, meta-GGA SCAN.

Lattice parameters (Å, degrees): 4.9094 4.9094 4.6295 90.00 90.00 90.00
Space group P4/mmm (No. 123)
One atom of each set of equivalent atoms:
Nb1 0.0000 0.5000 0.0000 (multiplicity 2)
Sn1 0.0000 0.0000 0.0000 (multiplicity 1)
Pt1 0.0000 0.0000 0.5000 (multiplicity 1)
W1 0.5000 0.5000 0.5000 (multiplicity 1)

Calculated values
- D(E_F) (states/eV/f.u.) = 4.8
- formation enthalpy at 0 K (meV/atom) = 1965



[16]
CaTl2Mo: PBEsol geometry, meta-GGA SCAN.

Lattice parameters (Å, degrees): 7.0974 7.0974 7.0974 90.00 90.00 90.00
Space group Fm-3m (No. 225)
One atom of each set of equivalent atoms:
Ca1 0.0000 0.0000 0.0000 (multiplicity 4)
Tl1 0.2500 0.2500 0.2500 (multiplicity 8)
Mo1 0.0000 0.0000 0.5000 (multiplicity 4)

Calculated values
- D(E_F) (states/eV/f.u.) = 1.5
- formation enthalpy at 0 K (meV/atom) = 245



[17]
ZrTl2Mo: PBEsol geometry, meta-GGA SCAN.

Lattice parameters (Å, degrees): 3.0098 4.3784 6.0506 90.00 90.00 90.00
Space group Pmmm (No. 47)
One atom of each set of equivalent atoms:
Zr1 0.0000 0.0000 0.0000 (multiplicity 1)
Tl1 0.5000 0.5000 0.2599 (multiplicity 2)
Mo1 0.0000 0.0000 0.5000 (multiplicity 1)

Calculated values
- D(E_F) (states/eV/f.u.) = 1.9
- formation enthalpy at 0 K (meV/atom) = 324



[18]
Be2Nb2Zn: PBEsol geometry, meta-GGA SCAN.

Lattice parameters (Å, degrees): 6.0555 6.0555 3.5409 90.00 90.00 90.00
Space group P4/mbm (No. 127)
One atom of each set of equivalent atoms:
Be1 0.1212 0.3788 0.0000 (multiplicity 4)
Nb1 0.1752 0.6752 0.5000 (multiplicity 4)
Zn1 0.0000 0.0000 0.0000 (multiplicity 2)

Calculated values
- D(E_F) (states/eV/f.u.) = 2.7
- formation enthalpy at 0 K (meV/atom) = -168



[19]
ZrSc2Ru: PBEsol geometry, meta-GGA SCAN.

Lattice parameters (Å, degrees): 6.6764 6.6764 6.6764 90.00 90.00 90.00
Space group F-43m (No. 216)
One atom of each set of equivalent atoms:
Zr1 0.0000 0.0000 0.0000 (multiplicity 4)
Sc1 0.0000 0.0000 0.5000 (multiplicity 4)
Sc2 0.2500 0.2500 0.7500 (multiplicity 4)
Ru1 0.2500 0.2500 0.2500 (multiplicity 4)

Calculated values
- D(E_F) (states/eV/f.u.) = 4.7
- formation enthalpy at 0 K (meV/atom) = -223



[20]
ErB4Ru: PBEsol geometry, meta-GGA SCAN.

Lattice parameters (Å, degrees): 5.9006 11.4118 3.4878 90.00 90.00 90.00
Space group Pbam (No. 55)
One atom of each set of equivalent atoms:
Er1 0.1288 0.1499 0.0000 (multiplicity 4)
B1 0.0236 0.6924 0.5000 (multiplicity 4)
B2 0.1127 0.5471 0.5000 (multiplicity 4)
B3 0.1354 0.9695 0.5000 (multiplicity 4)
B4 0.2102 0.8143 0.5000 (multiplicity 4)
Ru1 0.1396 0.4077 0.0000 (multiplicity 4)

Calculated values
- D(E_F) (states/eV/f.u.) = 0.7
- formation enthalpy at 0 K (meV/atom) = -730